Record 1
# Tb2Pr6HoEr3 | the Alexandria database | PBE | optimized geometry
# - total energy (eV/atom) = -4.671
data_Tb2Pr6HoEr3
_chemical_formula_sum 'Tb4 Pr12 Ho2 Er6'
_space_group_name_H-M_alt 'C 1 2/m 1'
_space_group_IT_number 12
_cell_length_a 6.296
_cell_length_b 10.904
_cell_length_c 11.856
_cell_angle_alpha 90.00
_cell_angle_beta 100.17
_cell_angle_gamma 90.00
loop_
_space_group_symop_operation_xyz
'x,y,z'
'-x,-y,-z'
'-x,y,-z'
'x,-y,z'
'x+1/2,y+1/2,z'
'-x+1/2,-y+1/2,-z'
'-x+1/2,y+1/2,-z'
'x+1/2,-y+1/2,z'
loop_
_atom_site_label
_atom_site_fract_x
_atom_site_fract_y
_atom_site_fract_z
Tb1 0.000 0.167 0.000
Pr1 0.249 0.500 0.749
Pr2 0.250 0.167 0.749
Ho1 0.000 0.500 0.000
Er1 0.000 0.000 0.500
Er2 0.000 0.333 0.500

---

Record 2
# Ce5Bi2HRu | the Alexandria database | PBE | optimized geometry
# - total energy (eV/atom) = -6.028
data_Ce5Bi2HRu
_chemical_formula_sum 'Ce5 Bi2 H1 Ru1'
_space_group_name_H-M_alt 'P 4/m m m'
_space_group_IT_number 123
_space_group_name_Hall '-P 4 2'
_cell_length_a 4.495
_cell_length_b 4.495
_cell_length_c 11.798
_cell_angle_alpha 90.00
_cell_angle_beta 90.00
_cell_angle_gamma 90.00
loop_
_atom_site_label
_atom_site_fract_x
_atom_site_fract_y
_atom_site_fract_z
Ce1 0.000 0.000 0.000
Ce2 0.000 0.500 0.500
Ce3 0.500 0.500 0.214
Bi1 0.000 0.000 0.288
H1 0.500 0.500 0.500
Ru1 0.500 0.500 0.000

---

Record 3
# NdErGa2Cu2 | the Alexandria database | PBE | optimized geometry
# - total energy (eV/atom) = -4.412
data_NdErGa2Cu2
_chemical_formula_sum 'Nd1 Er1 Ga2 Cu2'
_space_group_name_H-M_alt 'P -3 m 1'
_space_group_IT_number 164
_space_group_name_Hall '-P 3 2"'
_cell_length_a 4.3668
_cell_length_b 4.3668
_cell_length_c 7.3115
_cell_angle_alpha 90.00
_cell_angle_beta 90.00
_cell_angle_gamma 120.00
loop_
_atom_site_label
_atom_site_fract_x
_atom_site_fract_y
_atom_site_fract_z
Nd1 0.0000 0.0000 0.0000
Er1 0.0000 0.0000 0.5000
Ga1 0.3333 0.6667 0.2715
Cu1 0.3333 0.6667 0.7182

---

Record 4
# Mg4Ag5Sn | the Alexandria database | PBE | optimized geometry
# - offset from the most stable computed form (meV/atom) = 0
data_Mg4Ag5Sn
_chemical_formula_sum 'Mg4 Ag5 Sn1'
_space_group_name_H-M_alt 'P 4/m m m'
_space_group_IT_number 123
_space_group_name_Hall '-P 4 2'
_cell_length_a 3.449
_cell_length_b 3.449
_cell_length_c 16.133
_cell_angle_alpha 90.00
_cell_angle_beta 90.00
_cell_angle_gamma 90.00
loop_
_atom_site_label
_atom_site_fract_x
_atom_site_fract_y
_atom_site_fract_z
Mg1 0.000 0.000 0.098
Mg2 0.000 0.000 0.292
Ag1 0.500 0.500 0.000
Ag2 0.500 0.500 0.197
Ag3 0.500 0.500 0.388
Sn1 0.000 0.000 0.500

---

Record 5
# CePmPuSb | the Alexandria database | PBE | optimized geometry
# - raw formation energy (eV per atom) = -0.260
data_CePmPuSb
_chemical_formula_sum 'Ce4 Pm4 Pu4 Sb4'
_space_group_name_H-M_alt 'F -4 3 m'
_space_group_IT_number 216
_space_group_name_Hall 'F -4 2 3'
_cell_length_a 7.560
_cell_length_b 7.560
_cell_length_c 7.560
_cell_angle_alpha 90.00
_cell_angle_beta 90.00
_cell_angle_gamma 90.00
loop_
_atom_site_label
_atom_site_fract_x
_atom_site_fract_y
_atom_site_fract_z
Ce1 0.000 0.000 0.000
Pm1 0.250 0.250 0.750
Pu1 0.250 0.250 0.250
Sb1 0.000 0.000 0.500

---

Record 6
# Ac3PuSn3 | the Alexandria database | PBE | optimized geometry
# - total energy (eV/atom) = -5.926
data_Ac3PuSn3
_chemical_formula_sum 'Ac12 Pu4 Sn12'
_space_group_name_H-M_alt 'C 1 2/m 1'
_space_group_IT_number 12
_cell_length_a 8.413
_cell_length_b 11.212
_cell_length_c 10.384
_cell_angle_alpha 90.00
_cell_angle_beta 91.25
_cell_angle_gamma 90.00
loop_
_space_group_symop_operation_xyz
'x,y,z'
'-x,-y,-z'
'-x,y,-z'
'x,-y,z'
'x+1/2,y+1/2,z'
'-x+1/2,-y+1/2,-z'
'-x+1/2,y+1/2,-z'
'x+1/2,-y+1/2,z'
loop_
_atom_site_label
_atom_site_fract_x
_atom_site_fract_y
_atom_site_fract_z
Ac1 0.000 0.184 0.000
Ac2 0.000 0.225 0.500
Ac3 0.083 0.500 0.801
Pu1 0.209 0.500 0.470
Sn1 0.009 0.000 0.269
Sn2 0.238 0.293 0.246

---

Record 7
# BaReW2 | the Alexandria database | PBE | optimized geometry
# - offset from the most stable computed form (meV/atom) = 25
data_BaReW2
_chemical_formula_sum 'Ba1 Re1 W2'
_space_group_name_H-M_alt 'P m m m'
_space_group_IT_number 47
_cell_length_a 3.124
_cell_length_b 3.671
_cell_length_c 7.998
_cell_angle_alpha 90.00
_cell_angle_beta 90.00
_cell_angle_gamma 90.00
loop_
_space_group_symop_operation_xyz
'x,y,z'
'-x,-y,-z'
'-x,-y,z'
'x,y,-z'
'x,-y,-z'
'-x,y,z'
'-x,y,-z'
'x,-y,z'
loop_
_atom_site_label
_atom_site_fract_x
_atom_site_fract_y
_atom_site_fract_z
Ba1 0.000 0.000 0.000
Re1 0.000 0.000 0.500
W1 0.500 0.500 0.347

---

Record 8
# Li2Ho3Bi3 | the Alexandria database | PBE | optimized geometry
# - total energy (eV/atom) = -4.310
data_Li2Ho3Bi3
_chemical_formula_sum 'Li4 Ho6 Bi6'
_space_group_name_H-M_alt 'P 63/m c m'
_space_group_IT_number 193
_space_group_name_Hall '-P 6c 2'
_cell_length_a 8.9202
_cell_length_b 8.9202
_cell_length_c 6.2697
_cell_angle_alpha 90.00
_cell_angle_beta 90.00
_cell_angle_gamma 120.00
loop_
_atom_site_label
_atom_site_fract_x
_atom_site_fract_y
_atom_site_fract_z
Li1 0.3333 0.6667 0.0000
Ho1 0.0000 0.2449 0.2500
Bi1 0.0000 0.3948 0.7500

---

Record 9
# MgCo2IrRu | the Alexandria database | PBE | optimized geometry
# - total energy (eV/atom) = -5.100
data_MgCo2IrRu
_chemical_formula_sum 'Mg1 Co2 Ir1 Ru1'
_space_group_name_H-M_alt 'P 4/m m m'
_space_group_IT_number 123
_space_group_name_Hall '-P 4 2'
_cell_length_a 4.194
_cell_length_b 4.194
_cell_length_c 4.423
_cell_angle_alpha 90.00
_cell_angle_beta 90.00
_cell_angle_gamma 90.00
loop_
_atom_site_label
_atom_site_fract_x
_atom_site_fract_y
_atom_site_fract_z
Mg1 0.000 0.000 0.000
Co1 0.000 0.500 0.000
Ir1 0.500 0.500 0.500
Ru1 0.000 0.000 0.500

---

Record 10
# K2Mg2W | the Alexandria database | PBE | optimized geometry
# - offset from the most stable computed form (meV/atom) = 0
data_K2Mg2W
_chemical_formula_sum 'K4 Mg4 W2'
_space_group_name_H-M_alt 'P 4/m b m'
_space_group_IT_number 127
_space_group_name_Hall '-P 4 2ab'
_cell_length_a 9.978
_cell_length_b 9.978
_cell_length_c 2.926
_cell_angle_alpha 90.00
_cell_angle_beta 90.00
_cell_angle_gamma 90.00
loop_
_atom_site_label
_atom_site_fract_x
_atom_site_fract_y
_atom_site_fract_z
K1 0.189 0.311 0.000
Mg1 0.107 0.607 0.500
W1 0.000 0.000 0.500

---

Record 11
# NdNiSn3 | the Alexandria database | PBE | optimized geometry
# - total energy (eV/atom) = -4.833
data_NdNiSn3
_chemical_formula_sum 'Nd4 Ni4 Sn12'
_space_group_name_H-M_alt 'P n m a'
_space_group_IT_number 62
_cell_length_a 6.379
_cell_length_b 9.215
_cell_length_c 8.446
_cell_angle_alpha 90.00
_cell_angle_beta 90.00
_cell_angle_gamma 90.00
loop_
_space_group_symop_operation_xyz
'x,y,z'
'-x,-y,-z'
'-x+1/2,-y,z+1/2'
'x+1/2,y,-z+1/2'
'x+1/2,-y+1/2,-z+1/2'
'-x+1/2,y+1/2,z+1/2'
'-x,y+1/2,-z'
'x,-y+1/2,z'
loop_
_atom_site_label
_atom_site_fract_x
_atom_site_fract_y
_atom_site_fract_z
Nd1 0.130 0.250 0.047
Ni1 0.000 0.000 0.500
Sn1 0.133 0.250 0.423
Sn2 0.219 0.574 0.231

---

Record 12
# CePaHg2O8 | the Alexandria database | PBE | optimized geometry
# - raw formation energy (eV per atom) = -1.671
data_CePaHg2O8
_chemical_formula_sum 'Ce2 Pa2 Hg4 O16'
_space_group_name_H-M_alt 'I -4 m 2'
_space_group_IT_number 119
_space_group_name_Hall 'I -4 -2'
_cell_length_a 6.853
_cell_length_b 6.853
_cell_length_c 7.841
_cell_angle_alpha 90.00
_cell_angle_beta 90.00
_cell_angle_gamma 90.00
loop_
_atom_site_label
_atom_site_fract_x
_atom_site_fract_y
_atom_site_fract_z
Ce1 0.000 0.000 0.000
Pa1 0.000 0.500 0.250
Hg1 0.000 0.000 0.500
Hg2 0.000 0.500 0.750
O1 0.000 0.189 0.274
O2 0.000 0.323 0.982

---

Record 13
# Zn3AsN | the Alexandria database | PBE | optimized geometry
# - raw formation energy (eV per atom) = 1.362
# - offset from the most stable computed form (meV/atom) = 1138
data_Zn3AsN
_chemical_formula_sum 'Zn3 As1 N1'
_space_group_name_H-M_alt 'P m -3 m'
_space_group_IT_number 221
_space_group_name_Hall '-P 4 2 3'
_cell_length_a 4.739
_cell_length_b 4.739
_cell_length_c 4.739
_cell_angle_alpha 90.00
_cell_angle_beta 90.00
_cell_angle_gamma 90.00
loop_
_atom_site_label
_atom_site_fract_x
_atom_site_fract_y
_atom_site_fract_z
Zn1 0.000 0.000 0.500
As1 0.000 0.000 0.000
N1 0.500 0.500 0.500

---

Record 14
# PmHoGePd | the Alexandria database | PBE | optimized geometry
# - offset from the most stable computed form (meV/atom) = 0
data_PmHoGePd
_chemical_formula_sum 'Pm2 Ho2 Ge2 Pd2'
_space_group_name_H-M_alt 'A m m 2'
_space_group_IT_number 38
_cell_length_a 4.319
_cell_length_b 3.969
_cell_length_c 11.063
_cell_angle_alpha 90.00
_cell_angle_beta 90.00
_cell_angle_gamma 90.00
loop_
_space_group_symop_operation_xyz
'x,y,z'
'-x,-y,z'
'-x,y,z'
'x,-y,z'
'x,y+1/2,z+1/2'
'-x,-y+1/2,z+1/2'
'-x,y+1/2,z+1/2'
'x,-y+1/2,z+1/2'
loop_
_atom_site_label
_atom_site_fract_x
_atom_site_fract_y
_atom_site_fract_z
Pm1 0.000 0.000 0.000
Ho1 0.500 0.000 0.277
Ge1 0.000 0.000 0.725
Pd1 0.500 0.000 0.564

---

Record 15
# CeURe | the Alexandria database | PBE | optimized geometry
# - offset from the most stable computed form (meV/atom) = 27
data_CeURe
_chemical_formula_sum 'Ce1 U1 Re1'
_space_group_name_H-M_alt 'P 3 m 1'
_space_group_IT_number 156
_cell_length_a 4.7402
_cell_length_b 4.7402
_cell_length_c 3.0854
_cell_angle_alpha 90.00
_cell_angle_beta 90.00
_cell_angle_gamma 120.00
loop_
_space_group_symop_operation_xyz
'x,y,z'
'-y,x-y,z'
'-x+y,-x,z'
'-y,-x,z'
'-x+y,y,z'
'x,x-y,z'
loop_
_atom_site_label
_atom_site_fract_x
_atom_site_fract_y
_atom_site_fract_z
Ce1 0.0000 0.0000 0.0000
U1 0.3333 0.6667 0.2877
Re1 0.6667 0.3333 0.6012

---

Record 16
# Li2Ce2Rh15 | the Alexandria database | PBE | optimized geometry
# - total energy (eV/atom) = -6.876
data_Li2Ce2Rh15
_chemical_formula_sum 'Li6 Ce6 Rh45'
_space_group_name_H-M_alt 'R -3 m'
_space_group_IT_number 166
_space_group_name_Hall '-R 3 2"'
_cell_length_a 8.9822
_cell_length_b 8.9822
_cell_length_c 13.1588
_cell_angle_alpha 90.00
_cell_angle_beta 90.00
_cell_angle_gamma 120.00
loop_
_atom_site_label
_atom_site_fract_x
_atom_site_fract_y
_atom_site_fract_z
Li1 0.0000 0.0000 0.0963
Ce1 0.0000 0.0000 0.3450
Rh1 0.0000 0.3046 0.0000
Rh2 0.0000 0.5000 0.5000
Rh3 0.0018 0.5009 0.1527

---

Record 17
# ScIrRu2 | the Alexandria database | PBE | optimized geometry
# - offset from the most stable computed form (meV/atom) = 0
data_ScIrRu2
_chemical_formula_sum 'Sc1 Ir1 Ru2'
_space_group_name_H-M_alt 'P 4/m m m'
_space_group_IT_number 123
_space_group_name_Hall '-P 4 2'
_cell_length_a 3.913
_cell_length_b 3.913
_cell_length_c 3.980
_cell_angle_alpha 90.00
_cell_angle_beta 90.00
_cell_angle_gamma 90.00
loop_
_atom_site_label
_atom_site_fract_x
_atom_site_fract_y
_atom_site_fract_z
Sc1 0.000 0.000 0.000
Ir1 0.500 0.500 0.000
Ru1 0.000 0.500 0.500

---

Record 18
# Be2InGa2 | the Alexandria database | PBE | optimized geometry
# - offset from the most stable computed form (meV/atom) = 55
data_Be2InGa2
_chemical_formula_sum 'Be4 In2 Ga4'
_space_group_name_H-M_alt 'P 4/m b m'
_space_group_IT_number 127
_space_group_name_Hall '-P 4 2ab'
_cell_length_a 6.600
_cell_length_b 6.600
_cell_length_c 3.651
_cell_angle_alpha 90.00
_cell_angle_beta 90.00
_cell_angle_gamma 90.00
loop_
_atom_site_label
_atom_site_fract_x
_atom_site_fract_y
_atom_site_fract_z
Be1 0.116 0.384 0.000
In1 0.000 0.000 0.000
Ga1 0.161 0.661 0.500

---

Record 19
# Ag2MoCl | the Alexandria database | PBE | optimized geometry
# - raw formation energy (eV per atom) = 0.742
# - offset from the most stable computed form (meV/atom) = 629
data_Ag2MoCl
_chemical_formula_sum 'Ag8 Mo4 Cl4'
_space_group_name_H-M_alt 'I -4 2 d'
_space_group_IT_number 122
_space_group_name_Hall 'I -4 2bw'
_cell_length_a 7.830
_cell_length_b 7.830
_cell_length_c 5.315
_cell_angle_alpha 90.00
_cell_angle_beta 90.00
_cell_angle_gamma 90.00
loop_
_atom_site_label
_atom_site_fract_x
_atom_site_fract_y
_atom_site_fract_z
Ag1 0.243 0.750 0.125
Mo1 0.000 0.000 0.500
Cl1 0.000 0.000 0.000

---

Which Fermi-level density of states belongs to each record? In order, 25.676, 27.003, 6.390, 1.897, 27.661, 52.691, 4.788, 2.128, 5.005, 5.157, 14.598, 22.435, 8.411, 2.925, 6.371, 77.455, 5.541, 3.514, 4.392 states/eV per cell.